First-principles (GGA-PBE) data for a geometry-optimized ZnSi2O structure, as listed in Alexandria.

abc: 5.9483 5.9483 5.9483
angles: 90.00 90.00 90.00
Space group Fm-3m (No. 225)
Inequivalent atoms, fractional coordinates:
Zn  0.0000  0.0000  0.0000 [4 per cell]
Si  0.2500  0.2500  0.2500 [8 per cell]
O  0.0000  0.0000  0.5000 [4 per cell]

Calculated values
Crystal system: cubic
N(E_F) in states/eV per atom: 0.30
E_form (uncorrected) in eV per atom: 0.436
Calculated density in g/cm3: 4.3
V in Å³/f.u.: 53

=====

First-principles (GGA-PBE) data for a geometry-optimized ZnSiO2 structure, as listed in Alexandria.

abc: 2.9635 2.9635 17.0844
angles: 90.00 90.00 120.00
Space group R-3m (No. 166, hexagonal axes)
Inequivalent atoms, fractional coordinates:
Zn  0.0000  0.0000  0.0000 [3 per cell]
Si  0.0000  0.0000  0.5000 [3 per cell]
O  0.0000  0.0000  0.4016 [6 per cell]

Calculated values
Crystal system: trigonal
N(E_F) in states/eV per atom: 0.00
E_form (uncorrected) in eV per atom: -1.264
Calculated density in g/cm3: 4.8
V in Å³/f.u.: 43

=====

First-principles (GGA-PBE) data for a geometry-optimized Zn2SiO4 structure, as listed in Alexandria.

abc: 4.9934 5.0894 10.4405
angles: 90.00 90.00 90.00
Space group Pbca (No. 61)
Inequivalent atoms, fractional coordinates:
Zn  0.0010  0.0534  0.1629 [8 per cell]
Si  0.0000  0.0000  0.5000 [4 per cell]
O  0.1118  0.5449  0.8412 [8 per cell]
O  0.1992  0.7105  0.5481 [8 per cell]

Calculated values
Crystal system: orthorhombic
N(E_F) in states/eV per atom: 0.00
E_form (uncorrected) in eV per atom: -1.832
Calculated density in g/cm3: 5.6
V in Å³/f.u.: 66

=====

First-principles (GGA-PBE) data for a geometry-optimized ZnSiO2 structure, as listed in Alexandria.

abc: 7.5783 7.5783 7.5783
angles: 90.00 90.00 90.00
Space group Fd-3m (No. 227, origin choice 2)
Inequivalent atoms, fractional coordinates:
Zn  0.1250  0.1250  0.1250 [8 per cell]
Si  0.1250  0.1250  0.6250 [8 per cell]
O  0.0000  0.0000  0.5000 [16 per cell]

Calculated values
Crystal system: cubic
N(E_F) in states/eV per atom: 0.00
E_form (uncorrected) in eV per atom: -1.690
Calculated density in g/cm3: 3.8
V in Å³/f.u.: 54